The following is a PBE calculation of CeErRh after structural relaxation, from Alexandria via LeMat-Bulk.

The energy relative to the lowest polymorph listed for this composition is 0.0 meV per atom. For the calculated formation energy, the calculation gives -0.49 eV/atom. As for the volume: 26.8 Å³ per atom.

It has space group Pm (No. 6), with a = 5.7078 Å, b = 4.0812 Å, c = 7.2715 Å, α = 90.00°, β = 108.42° and γ = 90.00°. The asymmetric unit holds Ce at (0.0000, 0.0000, 0.0000), Ce at (0.4573, 0.5000, 0.3723), Er at (0.4564, 0.5000, 0.8655), Er at (0.9890, 0.0000, 0.4982), Rh at (0.5588, 0.0000, 0.1507) and Rh at (0.9143, 0.5000, 0.7307).

---

The following is a PBE calculation of Ce2Er2Rh15 after structural relaxation, from Alexandria via LeMat-Bulk.

For the calculated formation energy, the calculation gives -0.40 eV/atom. As for the volume: 17.0 Å³ per atom.

It has space group R-3m (No. 166, hexagonal axes), with a = 9.0877 Å, b = 9.0877 Å, c = 13.5538 Å, α = 90.00°, β = 90.00° and γ = 120.00°. The asymmetric unit holds Ce at (0.0000, 0.0000, 0.1411), Er at (0.0000, 0.0000, 0.3916), Rh at (0.0000, 0.3124, 0.5000), Rh at (0.0000, 0.5000, 0.0000) and Rh at (0.0082, 0.5041, 0.6552).

---

The following is a PBE calculation of CeEr5Rh6 after structural relaxation, from Alexandria via LeMat-Bulk.

For the calculated formation energy, the calculation gives -0.89 eV/atom. As for the volume: 19.9 Å³ per atom.

It has space group Cmmm (No. 65), with a = 4.7799 Å, b = 14.3130 Å, c = 6.9716 Å, α = 90.00°, β = 90.00° and γ = 90.00°. The asymmetric unit holds Ce at (0.0000, 0.0000, 0.0000), Er at (0.0000, 0.0000, 0.5000), Er at (0.0000, 0.3310, 0.0000), Er at (0.0000, 0.3325, 0.5000), Rh at (0.0000, 0.1648, 0.2498) and Rh at (0.0000, 0.5000, 0.2488).

---

The following is a PBE calculation of CeErRh after structural relaxation, from Alexandria via LeMat-Bulk.

The energy relative to the lowest polymorph listed for this composition is 56.8 meV per atom. For the calculated formation energy, the calculation gives -0.44 eV/atom. As for the volume: 26.5 Å³ per atom.

It has space group F-43m (No. 216), with a = 6.8256 Å, b = 6.8256 Å, c = 6.8256 Å, α = 90.00°, β = 90.00° and γ = 90.00°. The asymmetric unit holds Ce at (0.0000, 0.0000, 0.0000), Er at (0.0000, 0.0000, 0.5000) and Rh at (0.2500, 0.2500, 0.2500).

---

The following is a PBE calculation of CeEr4Rh5 after structural relaxation, from Alexandria via LeMat-Bulk.

For the calculated formation energy, the calculation gives -0.88 eV/atom. As for the volume: 19.9 Å³ per atom.

It has space group P4/mmm (No. 123), with a = 3.3896 Å, b = 3.3896 Å, c = 17.3162 Å, α = 90.00°, β = 90.00° and γ = 90.00°. The asymmetric unit holds Ce at (0.0000, 0.0000, 0.0000), Er at (0.0000, 0.0000, 0.2029), Er at (0.0000, 0.0000, 0.4010), Rh at (0.5000, 0.5000, 0.1029), Rh at (0.5000, 0.5000, 0.3018) and Rh at (0.5000, 0.5000, 0.5000).

---

The following is a PBE calculation of CeEr5Rh4 after structural relaxation, from Alexandria via LeMat-Bulk.

For the calculated formation energy, the calculation gives -0.67 eV/atom. As for the volume: 25.1 Å³ per atom.

It has space group C2/m (No. 12), with a = 18.1159 Å, b = 4.1059 Å, c = 7.3852 Å, α = 90.00°, β = 114.00° and γ = 90.00°. The asymmetric unit holds Ce at (0.0000, 0.0000, 0.0000), Er at (0.0000, 0.0000, 0.5000), Er at (0.1657, 0.5000, 0.4109), Er at (0.1656, 0.5000, 0.9199), Rh at (0.0001, 0.5000, 0.2491) and Rh at (0.2008, 0.0000, 0.2005).